Record 1
Compound: TlGeSbAu3
Source: the Alexandria database
Functional: PBE
Structure: relaxed

Cell: 8.730 8.730 6.277 Å, 90.00 90.00 136.42°
Fractional coordinates of all 12 atoms:
1 Tl 0.196 0.804 0.750
2 Tl 0.804 0.196 0.250
3 Ge 0.415 0.585 0.250
4 Ge 0.585 0.415 0.750
5 Sb 0.096 0.904 0.250
6 Sb 0.904 0.096 0.750
7 Au 0.262 0.738 0.250
8 Au 0.264 0.264 0.000
9 Au 0.264 0.264 0.500
10 Au 0.736 0.736 0.000
11 Au 0.736 0.736 0.500
12 Au 0.738 0.262 0.750

## Properties
The crystal system is orthorhombic. Its total energy is -3.467 eV per atom. For the volume, the calculation gives 329.8 Å³ per cell.

Record 2
Compound: AcY2Er3
Source: the Alexandria database
Functional: PBE
Structure: relaxed

Cell: 6.746 6.746 9.054 Å, 98.42 98.42 94.62°
Fractional coordinates of all 12 atoms:
1 Ac 0.075 0.925 0.750
2 Ac 0.925 0.075 0.250
3 Y 0.131 0.619 0.374
4 Y 0.381 0.869 0.126
5 Y 0.619 0.131 0.874
6 Y 0.869 0.381 0.626
7 Er 0.177 0.354 0.007
8 Er 0.354 0.177 0.507
9 Er 0.417 0.583 0.750
10 Er 0.583 0.417 0.250
11 Er 0.646 0.823 0.493
12 Er 0.823 0.646 0.993

## Properties
The calculation puts the energy of formation from the pure elements at 0.10 eV per atom. The crystal system is monoclinic. Its total energy is -5.019 eV per atom. For the volume, the calculation gives 401.0 Å³ per cell.

Record 3
Compound: NpMnGe2Os
Source: the Alexandria database
Functional: PBE
Structure: relaxed

Cell: 6.108 6.108 6.108 Å, 141.55 141.55 55.50°
Fractional coordinates of all 5 atoms:
1 Np 0.000 0.000 0.000
2 Mn 0.250 0.750 0.500
3 Ge 0.383 0.383 0.000
4 Ge 0.617 0.617 0.000
5 Os 0.750 0.250 0.500

## Properties
The calculation puts the energy of formation from the pure elements at -0.14 eV per atom. The crystal system is tetragonal. Its total energy is -8.651 eV per atom. For the volume, the calculation gives 87.5 Å³ per cell.